Below is an optimized crystal structure of Pm3Ho4Hg4, with properties calculated at the GGA-PBE level.

abc: 4.949 7.864 9.460
angles: 114.56 105.17 90.00
Positions (direct):
Pm (0.110, 0.110, 0.220)
Pm (0.890, 0.890, 0.780)
Pm (0.000, 0.500, 0.000)
Ho (0.326, 0.112, 0.652)
Ho (0.674, 0.460, 0.348)
Ho (0.674, 0.888, 0.348)
Ho (0.326, 0.540, 0.652)
Hg (0.209, 0.709, 0.419)
Hg (0.791, 0.291, 0.581)
Hg (0.500, 0.805, 0.000)
Hg (0.500, 0.195, 0.000)

Properties
energy relative to the elements	-0.28	eV per atom
N(E_F)	0.748	states/eV/atom
SG	Immm, No. 71

***

Below is an optimized crystal structure of MoPtCl2, with properties calculated at the GGA-PBE level.

abc: 3.029 3.029 10.783
angles: 90.00 90.00 123.59
Positions (direct):
Mo (0.500, 0.500, 0.250)
Pt (0.500, 0.500, 0.750)
Cl (0.000, 0.000, 0.069)
Cl (0.000, 0.000, 0.431)

Properties
N(E_F)	1.087	states/eV/atom
raw formation energy	0.322	eV per atom
energy above the lowest structure with this stoichiometry	0.555	eV/atom
SG	Cmmm, No. 65

***

Below is an optimized crystal structure of ZnFeNi2, with properties calculated at the GGA-PBE level.

abc: 3.425 2.601 5.886
angles: 63.77 90.00 90.00
Positions (direct):
Ni (0.000, 0.007, 0.993)
Ni (0.000, 0.493, 0.507)
Zn (0.500, 0.250, 0.250)
Fe (0.500, 0.750, 0.750)

Properties
energy relative to the elements	-0.12	eV per atom
N(E_F)	0.646	states/eV/atom
SG	Pmmm, No. 47